Computed, not measured: a relaxed structure of Mg2CoRuI at the PBE-GGA level of DFT.

Cell and atoms, written as CIF:
```
data_Mg2CoRuI
_chemical_formula_sum 'Mg2 Co1 Ru1 I1'
_cell_length_a 5.073
_cell_length_b 5.073
_cell_length_c 4.934
_cell_angle_alpha 90.00
_cell_angle_beta 90.00
_cell_angle_gamma 90.00
_symmetry_space_group_name_H-M 'P 4/m m m'
_symmetry_Int_Tables_number 123
_symmetry_space_group_name_Hall '-P 4 2'
loop_
_atom_site_label
_atom_site_fract_x
_atom_site_fract_y
_atom_site_fract_z
Mg1 0.000 0.500 0.000
Co1 0.000 0.000 0.500
Ru1 0.500 0.500 0.000
I1 0.500 0.500 0.500
```

## Properties
size of the total moment: 0.38 μB per atom
DFT total energy: -3.299 eV per atom
formation energy without anion corrections: 0.925 eV per atom